VASP calculation (PBE) on a geometry-optimized Cd2OsSe structure.

Unit cell a=5.2039 b=5.2039 c=2.9583 alpha=90.00 beta=90.00 gamma=111.79
Last column: magnetic moment on the atom in μB.
Fractional positions:
Os  0.5000  0.0000  0.5000  0.35
Se  0.0000  0.5000  0.5000  -0.02
Cd  0.5000  0.5000  0.0000  0.00
Cd  0.0000  0.0000  0.0000  0.00

Computed properties:
total energy: -14.4 eV for the cell shown
formation energy (no corrections): 0.55 eV/atom
space-group type: Cmmm (65)